Entry 1:
## YSbOF2 (PBEsol)

Data for an optimized crystal structure of YSbOF2.

Cell lengths 4.0580, 4.0580, 6.4300 Å; angles 90.00, 90.00, 90.00 degrees
Element x y z (fractional)
Y 0.0000 0.0000 0.0000
Sb 0.0000 0.0000 0.5000
O 0.5000 0.5000 0.5000
F 0.0000 0.5000 0.0000
F 0.5000 0.0000 0.0000

Properties
The space group is No. 123. The volume is 21.178 Å³ per atom. Its energy is -30.387 eV for the cell shown. The calculation puts the uncorrected formation energy at -9.9 eV per formula unit. Its theoretical density is 4.15 g cm⁻³.


Entry 2:
## ZrSbOF2 (PBEsol)

Data for an optimized crystal structure of ZrSbOF2.

Cell lengths 4.3683, 4.3683, 4.0561 Å; angles 90.00, 90.00, 90.00 degrees
Element x y z (fractional)
Zr 0.0000 0.0000 0.0000
Sb 0.5000 0.5000 0.5000
O 0.0000 0.0000 0.5000
F 0.0000 0.5000 0.0000
F 0.5000 0.0000 0.0000

Properties
The space group is No. 123. The volume is 15.480 Å³ per atom. Its energy is -32.907 eV for the cell shown. The calculation puts the uncorrected formation energy at -10.2 eV per formula unit. Its theoretical density is 5.73 g cm⁻³.


Entry 3:
## Sc3OF (PBEsol)

Data for an optimized crystal structure of Sc3OF.

Cell lengths 4.2994, 4.2994, 4.2994 Å; angles 90.00, 90.00, 90.00 degrees
Element x y z (fractional)
Sc 0.0000 0.0000 0.5000
Sc 0.0000 0.5000 0.0000
Sc 0.5000 0.0000 0.0000
O 0.5000 0.5000 0.5000
F 0.0000 0.0000 0.0000

Properties
The space group is No. 221. The volume is 15.895 Å³ per atom. Its energy is -30.079 eV for the cell shown. The calculation puts the uncorrected formation energy at -3.1 eV per formula unit. Its theoretical density is 3.55 g cm⁻³.


Entry 4:
## ScO2F2 (PBEsol)

Data for an optimized crystal structure of ScO2F2.

Cell lengths 3.5151, 3.5151, 4.0137 Å; angles 90.00, 90.00, 90.00 degrees
Element x y z (fractional)
Sc 0.0000 0.0000 0.0000
O 0.0000 0.5000 0.5000
O 0.5000 0.0000 0.5000
F 0.5000 0.5000 0.0000
F 0.5000 0.5000 0.5000

Properties
The space group is No. 123. The volume is 9.918 Å³ per atom. Its energy is -25.292 eV for the cell shown. The calculation puts the uncorrected formation energy at -4.3 eV per formula unit. Its theoretical density is 3.85 g cm⁻³.


Entry 5:
## ScOF (PBEsol)

Data for an optimized crystal structure of ScOF.

Cell lengths 5.1557, 5.1376, 5.2125 Å; angles 90.00, 99.83, 90.00 degrees
Element x y z (fractional)
Sc 0.1919 0.0280 0.2876
Sc 0.1919 0.4720 0.7876
Sc 0.8081 0.5280 0.2124
Sc 0.8081 0.9720 0.7124
O 0.0442 0.7461 0.5119
O 0.0442 0.7539 0.0119
O 0.9558 0.2461 0.9881
O 0.9558 0.2539 0.4881
F 0.4419 0.1716 0.6602
F 0.4419 0.3284 0.1602
F 0.5581 0.6716 0.8398
F 0.5581 0.8284 0.3398

Properties
The space group is No. 14. The volume is 11.336 Å³ per atom. Its energy is -100.755 eV for the cell shown. The calculation puts the uncorrected formation energy at -11.4 eV per formula unit. Its theoretical density is 3.90 g cm⁻³.


Entry 6:
## ScSeOF2 (PBEsol)

Data for an optimized crystal structure of ScSeOF2.

Cell lengths 4.5651, 4.5651, 3.7704 Å; angles 90.00, 90.00, 90.00 degrees
Element x y z (fractional)
Sc 0.0000 0.0000 0.0000
Se 0.5000 0.5000 0.5000
O 0.5000 0.5000 0.0000
F 0.0000 0.5000 0.5000
F 0.5000 0.0000 0.5000

Properties
The space group is No. 123. The volume is 15.715 Å³ per atom. Its energy is -23.964 eV for the cell shown. The calculation puts the uncorrected formation energy at -4.4 eV per formula unit. Its theoretical density is 3.76 g cm⁻³.


Entry 7:
## ScSeO2F (PBEsol)

Data for an optimized crystal structure of ScSeO2F.

Cell lengths 3.8997, 3.8997, 4.5310 Å; angles 90.00, 90.00, 90.00 degrees
Element x y z (fractional)
Sc 0.0000 0.0000 0.0000
Se 0.5000 0.5000 0.5000
O 0.0000 0.5000 0.5000
O 0.5000 0.0000 0.5000
F 0.5000 0.5000 0.0000

Properties
The space group is No. 123. The volume is 13.781 Å³ per atom. Its energy is -27.322 eV for the cell shown. The calculation puts the uncorrected formation energy at -4.4 eV per formula unit. Its theoretical density is 4.22 g cm⁻³.


Entry 8:
## ScTaO2F (PBEsol)

Data for an optimized crystal structure of ScTaO2F.

Cell lengths 4.0831, 4.0831, 3.8524 Å; angles 90.00, 90.00, 90.00 degrees
Element x y z (fractional)
Sc 0.0000 0.0000 0.0000
Ta 0.5000 0.5000 0.5000
O 0.0000 0.5000 0.0000
O 0.5000 0.0000 0.0000
F 0.0000 0.0000 0.5000

Properties
The space group is No. 123. The volume is 12.845 Å³ per atom. Its energy is -39.363 eV for the cell shown. The calculation puts the uncorrected formation energy at -7.8 eV per formula unit. Its theoretical density is 7.16 g cm⁻³.